Below is crystalline PaGePb at its relaxed geometry, with properties calculated at the PBE level.

Calculated total energy ... -17.04 eV per cell
Volume ... 28.2 A^3/atom
Total moment ... 0.394 μB per atom

Geometry as POSCAR:
```
PaGePb
1.0
0.0000 3.4830 3.4830
3.4830 0.0000 3.4830
3.4830 3.4830 0.0000
Pa Ge Pb
1 1 1
Cartesian
0.0000 0.0000 0.0000
1.7415 1.7415 1.7415
3.4830 3.4830 3.4830
```